[1]
A plane-wave DFT calculation with PBE was carried out for a relaxed HgIr2Rh crystal.

SG   P2/m

Geometry as POSCAR:
```
HgIr2Rh
1.0
-1.738 -4.486 -0.312
2.575 -1.024 0.384
-0.717 -0.052 4.738
Hg Rh Ir
1 1 2
Direct
0.500 0.000 0.000
0.500 0.500 0.500
0.000 0.749 0.266
0.000 0.251 0.734
```

[2]
A plane-wave DFT calculation with PBE was carried out for a relaxed HgIrRh2 crystal.

SG   I-4m2

Geometry as POSCAR:
```
HgIrRh2
1.0
-1.346 2.615 3.884
-4.389 1.958 -0.799
1.650 -4.564 -0.431
Ir Rh Hg
1 2 1
Direct
0.750 0.250 0.500
0.000 0.000 0.000
0.250 0.750 0.500
0.500 0.500 0.000
```

| no. | VASP energy (eV per atom) | total magnetization (Bohr magnetons per cell) |
| --- | --- | --- |
| 1 | -5.8975 | 0.0 |
| 2 | -5.6826 | 0.0 |